[1]
The following is a DFT calculation (PBE-GGA) of a geometry-optimized BeAl2Mo structure.

Cell: 8.558 8.558 8.558 Å, 18.95 18.95 18.95°
Fractional coordinates of all 4 atoms:
Be (0.000, 0.000, 0.000)
Al (0.256, 0.256, 0.256)
Al (0.744, 0.744, 0.744)
Mo (0.500, 0.500, 0.500)

Results
DFT formation energy ... 0.125 eV per atom
E ... -5.386 eV/atom

***

[2]
The following is a DFT calculation (PBE-GGA) of a geometry-optimized PmErCSe structure.

Cell: 7.147 7.147 7.147 Å, 30.61 30.61 30.61°
Fractional coordinates of all 4 atoms:
Pm (0.000, 0.000, 0.000)
Er (0.200, 0.200, 0.200)
C (0.598, 0.598, 0.598)
Se (0.772, 0.772, 0.772)

Results
ΔE_f (raw) ... -1.067 eV per atom
E ... -6.572 eV/atom

***

[3]
The following is a DFT calculation (PBE-GGA) of a geometry-optimized LaSi2Au2 structure.

Cell: 7.867 7.867 3.194 Å, 90.00 90.00 90.00°
Fractional coordinates of all 10 atoms:
La (0.000, 0.000, 0.000)
La (0.500, 0.500, 0.000)
Si (0.136, 0.364, 0.000)
Si (0.364, 0.864, 0.000)
Si (0.636, 0.136, 0.000)
Si (0.864, 0.636, 0.000)
Au (0.151, 0.651, 0.500)
Au (0.349, 0.151, 0.500)
Au (0.651, 0.849, 0.500)
Au (0.849, 0.349, 0.500)

Results
ΔE_f (raw) ... -0.165 eV per atom
E ... -4.630 eV/atom

***

[4]
The following is a DFT calculation (PBE-GGA) of a geometry-optimized La5Tb2Cd structure.

Cell: 7.064 7.064 7.064 Å, 108.21 108.21 112.02°
Fractional coordinates of all 8 atoms:
La (0.000, 0.000, 0.000)
La (0.001, 0.001, 0.500)
La (0.001, 0.500, 0.000)
La (0.500, 0.001, 0.000)
La (0.500, 0.500, 0.500)
Tb (0.001, 0.501, 0.500)
Tb (0.501, 0.001, 0.500)
Cd (0.501, 0.501, 0.000)

Results
DFT formation energy ... 0.002 eV per atom
E ... -4.350 eV/atom